1.
Computed, not measured: a geometry-optimized Si2HPb structure at the GGA-PBE level of DFT.

size of the total moment	0.00	μB/atom
electronic total energy	-31.1	eV for the cell shown

Lattice parameters (Å, degrees): 4.8386 4.8386 7.1719 70.29 70.29 90.00
Atoms (fractional coordinates):
H 0.2500 0.7500 0.5000
H 0.5000 0.5000 0.0000
Pb 0.7500 0.2500 0.5000
Pb 0.0000 0.0000 0.0000
Si 0.4365 0.1250 0.2500
Si 0.3135 0.6250 0.2500
Si 0.8750 0.6865 0.7500
Si 0.3750 0.5635 0.7500

2.
Computed, not measured: a geometry-optimized Cr2CoP structure at the GGA-PBE level of DFT.

size of the total moment	0.10	μB/atom
electronic total energy	-31.4	eV for the cell shown

Lattice parameters (Å, degrees): 7.5699 7.5699 7.5699 20.34 20.34 20.34
Site moments in Bohr magnetons follow the coordinates.
Atoms (fractional coordinates):
P 0.4996 0.4996 0.4996  0.00
Cr 0.2480 0.2480 0.2480  -0.12
Cr 0.9988 0.9988 0.9988  0.21
Co 0.7535 0.7535 0.7535  0.29

3.
Computed, not measured: a geometry-optimized Pu2UNi9 structure at the GGA-PBE level of DFT.

size of the total moment	0.92	μB/atom
electronic total energy	-94.8	eV for the cell shown

Lattice parameters (Å, degrees): 4.9118 4.9118 8.5962 73.40 73.40 60.00
Site moments in Bohr magnetons follow the coordinates.
Atoms (fractional coordinates):
Ni 0.6669 0.6669 0.9993  -0.17
Ni 0.4181 0.9189 0.2449  -0.15
Ni 0.5819 0.5819 0.7551  -0.15
Ni 0.3331 0.3331 0.0007  -0.17
Ni 0.9189 0.4181 0.2449  -0.15
Ni 0.4181 0.4181 0.2449  -0.15
Ni 0.5000 0.5000 0.5000  -0.06
Ni 0.0811 0.5819 0.7551  -0.15
Ni 0.5819 0.0811 0.7551  -0.15
Pu 0.8581 0.8581 0.4256  4.99
Pu 0.1419 0.1419 0.5744  4.99
U 0.0000 0.0000 0.0000  1.70

4.
Computed, not measured: a geometry-optimized Ac2Sb3TePd4 structure at the GGA-PBE level of DFT.

size of the total moment	0.00	μB/atom
electronic total energy	-53.3	eV for the cell shown

Lattice parameters (Å, degrees): 4.7944 4.7944 10.5996 90.00 90.00 90.00
Atoms (fractional coordinates):
Ac 0.5000 0.0000 0.2380
Ac 0.0000 0.5000 0.7620
Pd 0.0000 0.5000 0.3748
Pd 0.5000 0.5000 0.0000
Pd 0.0000 0.0000 0.0000
Pd 0.5000 0.0000 0.6252
Sb 0.0000 0.5000 0.1256
Sb 0.5000 0.0000 0.8744
Sb 0.0000 0.0000 0.5000
Te 0.5000 0.5000 0.5000

5.
Computed, not measured: a geometry-optimized PmZrTiIr2 structure at the GGA-PBE level of DFT.

size of the total moment	0.00	μB/atom
electronic total energy	-42.6	eV for the cell shown

Lattice parameters (Å, degrees): 4.4067 4.4067 6.3027 110.46 110.46 90.00
Atoms (fractional coordinates):
Ir 0.6182 0.6182 0.2365
Ir 0.3818 0.3818 0.7635
Zr 0.7500 0.2500 0.5000
Pm 0.0000 0.0000 0.0000
Ti 0.2500 0.7500 0.5000

6.
Computed, not measured: a geometry-optimized La2TaO5 structure at the GGA-PBE level of DFT.

size of the total moment	0.12	μB/atom
electronic total energy	-287.4	eV for the cell shown

Lattice parameters (Å, degrees): 3.9619 11.1216 11.8813 90.00 90.00 90.00
Site moments in Bohr magnetons follow the coordinates.
Atoms (fractional coordinates):
O 0.2500 0.7808 0.8804  0.00
O 0.7500 0.7917 0.0404  0.00
O 0.7500 0.7192 0.3804  0.00
O 0.7500 0.2395 0.7732  -0.03
O 0.7500 0.2917 0.4596  0.00
O 0.2500 0.2083 0.9596  0.00
O 0.2500 0.0230 0.1720  -0.03
O 0.2500 0.9832 0.6028  -0.04
O 0.2500 0.5230 0.3280  -0.03
O 0.2500 0.7605 0.2268  -0.03
O 0.2500 0.7083 0.5404  0.00
O 0.2500 0.4832 0.8972  -0.04
O 0.7500 0.2192 0.1196  0.00
O 0.7500 0.0168 0.3972  -0.04
O 0.7500 0.5168 0.1028  -0.04
O 0.7500 0.7395 0.7268  -0.03
O 0.2500 0.2808 0.6196  0.00
O 0.7500 0.4770 0.6720  -0.03
O 0.2500 0.2605 0.2732  -0.03
O 0.7500 0.9770 0.8280  -0.03
La 0.2500 0.6049 0.7291  -0.08
La 0.2500 0.1049 0.7709  -0.08
La 0.7500 0.3951 0.2709  -0.08
La 0.7500 0.8951 0.2291  -0.08
La 0.7500 0.3693 0.9417  -0.10
La 0.2500 0.1307 0.4417  -0.10
La 0.7500 0.8693 0.5583  -0.10
La 0.2500 0.6307 0.0583  -0.10
Ta 0.2500 0.6857 0.3795  -0.21
Ta 0.2500 0.1857 0.1205  -0.21
Ta 0.7500 0.8143 0.8795  -0.21
Ta 0.7500 0.3143 0.6205  -0.21

7.
Computed, not measured: a geometry-optimized Tm4SeS3 structure at the GGA-PBE level of DFT.

size of the total moment	0.00	μB/atom
electronic total energy	-48.4	eV for the cell shown

Lattice parameters (Å, degrees): 5.4997 5.4997 5.4997 90.00 90.00 90.00
Atoms (fractional coordinates):
S 0.5000 0.5000 0.0000
S 0.5000 0.0000 0.5000
S 0.0000 0.5000 0.5000
Tm 0.5000 0.0000 0.0000
Tm 0.0000 0.5000 0.0000
Tm 0.0000 0.0000 0.5000
Tm 0.5000 0.5000 0.5000
Se 0.0000 0.0000 0.0000

8.
Computed, not measured: a geometry-optimized ThTl2Cl6 structure at the GGA-PBE level of DFT.

size of the total moment	0.00	μB/atom
electronic total energy	-77.1	eV for the cell shown

Lattice parameters (Å, degrees): 7.6827 8.1468 11.0612 90.00 96.87 90.00
Atoms (fractional coordinates):
Cl 0.1562 0.0758 0.7241
Cl 0.7846 0.6760 0.9560
Cl 0.8488 0.7352 0.5896
Cl 0.2846 0.8240 0.4560
Cl 0.3438 0.5758 0.7759
Cl 0.7154 0.1760 0.5440
Cl 0.3488 0.7648 0.0896
Cl 0.1512 0.2648 0.4104
Cl 0.2154 0.3240 0.0440
Cl 0.8438 0.9242 0.2759
Cl 0.6512 0.2352 0.9104
Cl 0.6562 0.4242 0.2241
Tl 0.9573 0.4179 0.7737
Tl 0.4573 0.0821 0.2737
Tl 0.5427 0.9179 0.7263
Tl 0.0427 0.5821 0.2263
Th 0.5000 0.5000 0.0000
Th 0.0000 0.0000 0.5000

9.
Computed, not measured: a geometry-optimized Zn5Br structure at the GGA-PBE level of DFT.

size of the total moment	0.00	μB/atom
electronic total energy	-7.9	eV for the cell shown

Lattice parameters (Å, degrees): 5.9503 5.9503 5.8128 82.47 82.47 34.03
Atoms (fractional coordinates):
Zn 0.0277 0.0277 0.4983
Zn 0.3504 0.3504 0.5869
Zn 0.3266 0.3266 0.1256
Zn 0.7289 0.7289 0.8751
Zn 0.7053 0.7053 0.4143
Br 0.0279 0.0279 0.9998

10.
Computed, not measured: a geometry-optimized Sm2ThPb9 structure at the GGA-PBE level of DFT.

size of the total moment	0.00	μB/atom
electronic total energy	-53.9	eV for the cell shown

Lattice parameters (Å, degrees): 4.9047 4.9047 14.7524 90.00 90.00 90.00
Atoms (fractional coordinates):
Pb 0.5000 0.0000 0.1667
Pb 0.0000 0.5000 0.1667
Pb 0.5000 0.0000 0.8333
Pb 0.5000 0.5000 0.0000
Pb 0.5000 0.0000 0.5000
Pb 0.0000 0.5000 0.5000
Pb 0.5000 0.5000 0.6658
Pb 0.0000 0.5000 0.8333
Pb 0.5000 0.5000 0.3342
Th 0.0000 0.0000 0.0000
Sm 0.0000 0.0000 0.3293
Sm 0.0000 0.0000 0.6707

11.
Computed, not measured: a geometry-optimized LiCa2Co structure at the GGA-PBE level of DFT.

size of the total moment	0.06	μB/atom
electronic total energy	-22.3	eV for the cell shown

Lattice parameters (Å, degrees): 7.8528 7.8528 6.4451 52.47 52.47 90.00
Site moments in Bohr magnetons follow the coordinates.
Atoms (fractional coordinates):
Ca 0.6641 0.1250 0.2500  -0.04
Ca 0.0859 0.6250 0.2500  -0.04
Ca 0.3750 0.3359 0.7500  -0.04
Ca 0.8750 0.9141 0.7500  -0.03
Li 0.5000 0.5000 0.0000  -0.01
Li 0.2500 0.7500 0.5000  -0.01
Co 0.7500 0.2500 0.5000  0.54
Co 0.0000 0.0000 0.0000  0.53

12.
Computed, not measured: a geometry-optimized Tl12ZnHg7 structure at the GGA-PBE level of DFT.

size of the total moment	0.00	μB/atom
electronic total energy	-31.0	eV for the cell shown

Lattice parameters (Å, degrees): 6.1661 10.7833 10.7833 116.46 100.99 100.99
Atoms (fractional coordinates):
Hg 0.6538 0.7600 0.7602
Hg 0.8938 0.0003 0.2400
Hg 0.5000 0.0000 0.0000
Hg 0.8936 0.2398 0.9997
Hg 0.3462 0.2400 0.2398
Hg 0.1062 0.9997 0.7600
Hg 0.1064 0.7602 0.0003
Tl 0.8992 0.3440 0.3438
Tl 0.5554 0.6562 0.0002
Tl 0.4448 0.0002 0.3440
Tl 0.5552 0.9998 0.6560
Tl 0.9092 0.4096 0.8190
Tl 0.0902 0.1810 0.5907
Tl 0.9098 0.8190 0.4093
Tl 0.4446 0.3438 0.9998
Tl 0.5005 0.5907 0.4096
Tl 0.0908 0.5904 0.1810
Tl 0.4995 0.4093 0.5904
Tl 0.1008 0.6560 0.6562
Zn 0.0000 0.0000 0.0000

13.
Computed, not measured: a geometry-optimized Ce4Ni2C structure at the GGA-PBE level of DFT.

size of the total moment	0.22	μB/atom
electronic total energy	-45.2	eV for the cell shown

Lattice parameters (Å, degrees): 4.8999 4.8999 7.4281 70.74 70.74 90.00
Site moments in Bohr magnetons follow the coordinates.
Atoms (fractional coordinates):
C 0.0000 0.0000 0.0000  -0.02
Ce 0.8103 0.8103 0.3795  0.48
Ce 0.0000 0.5000 0.0000  0.16
Ce 0.1897 0.1897 0.6205  0.48
Ce 0.5000 0.0000 0.0000  0.16
Ni 0.3761 0.3761 0.2479  0.00
Ni 0.6239 0.6239 0.7521  0.00

14.
Computed, not measured: a geometry-optimized ErCuSb2S5 structure at the GGA-PBE level of DFT.

size of the total moment	0.00	μB/atom
electronic total energy	-88.4	eV for the cell shown

Lattice parameters (Å, degrees): 3.8725 9.9002 11.9562 90.00 90.00 101.28
Atoms (fractional coordinates):
Sb 0.8383 0.6765 0.1743
Sb 0.0775 0.1550 0.2661
Sb 0.1617 0.3235 0.6743
Sb 0.9225 0.8450 0.7661
S 0.6600 0.3199 0.5264
S 0.0596 0.1192 0.0597
S 0.3400 0.6801 0.0264
S 0.6804 0.3609 0.8629
S 0.9404 0.8808 0.5597
S 0.2900 0.5800 0.6735
S 0.5085 0.0170 0.7929
S 0.3196 0.6391 0.3629
S 0.7100 0.4200 0.1735
S 0.4915 0.9830 0.2929
Cu 0.5736 0.1472 0.9556
Cu 0.4264 0.8528 0.4556
Er 0.8007 0.6015 0.5127
Er 0.1993 0.3985 0.0127

15.
Computed, not measured: a geometry-optimized Mg2Tc3 structure at the GGA-PBE level of DFT.

size of the total moment	0.00	μB/atom
electronic total energy	-33.0	eV for the cell shown

Lattice parameters (Å, degrees): 11.7051 11.5851 2.7256 85.79 80.78 13.43
Atoms (fractional coordinates):
Mg 0.8992 0.8992 0.1008
Mg 0.1008 0.1008 0.8992
Tc 0.7044 0.7044 0.2956
Tc 0.5000 0.5000 0.5000
Tc 0.2956 0.2956 0.7044

16.
Computed, not measured: a geometry-optimized Ac8TbPr2 structure at the GGA-PBE level of DFT.

size of the total moment	0.00	μB/atom
electronic total energy	-43.0	eV for the cell shown

Lattice parameters (Å, degrees): 6.3243 9.1758 9.1758 87.00 79.65 79.65
Atoms (fractional coordinates):
Tb 0.0000 0.0000 0.0000
Ac 0.8011 0.6575 0.1419
Ac 0.1160 0.7323 0.7323
Ac 0.7080 0.5838 0.5838
Ac 0.1989 0.8581 0.3425
Ac 0.8011 0.1419 0.6575
Ac 0.2920 0.4162 0.4162
Ac 0.1989 0.3425 0.8581
Ac 0.8840 0.2677 0.2677
Pr 0.5151 0.8697 0.8697
Pr 0.4849 0.1303 0.1303

17.
Computed, not measured: a geometry-optimized SrReHg2O6 structure at the GGA-PBE level of DFT.

size of the total moment	0.00	μB/atom
electronic total energy	-57.7	eV for the cell shown

Lattice parameters (Å, degrees): 5.8818 5.8818 6.0678 61.01 61.01 60.00
Atoms (fractional coordinates):
Hg 0.5666 0.5665 0.3004
Hg 0.0645 0.0645 0.8064
O 0.9886 0.5208 0.2716
O 0.2190 0.9886 0.2716
O 0.6447 0.1128 0.8300
O 0.5208 0.2190 0.2716
O 0.4124 0.6448 0.8300
O 0.1128 0.4125 0.8300
Sr 0.8160 0.8159 0.5522
Re 0.3161 0.3161 0.0517

18.
Computed, not measured: a geometry-optimized Er5In2Ag structure at the GGA-PBE level of DFT.

size of the total moment	0.00	μB/atom
electronic total energy	-33.2	eV for the cell shown

Lattice parameters (Å, degrees): 6.8321 6.8321 6.6088 121.13 121.13 89.98
Atoms (fractional coordinates):
Er 0.7226 0.7226 0.4452
Er 0.2224 0.7220 0.9444
Er 0.7221 0.2224 0.9445
Er 0.2224 0.2224 0.9445
Er 0.7221 0.7221 0.9444
In 0.2223 0.7224 0.4446
In 0.7223 0.2223 0.4446
Ag 0.2208 0.2207 0.4417

19.
Computed, not measured: a geometry-optimized Cs2Li2TcO6 structure at the GGA-PBE level of DFT.

size of the total moment	0.09	μB/atom
electronic total energy	-60.9	eV for the cell shown

Lattice parameters (Å, degrees): 5.4845 5.4845 7.7121 107.69 107.69 98.51
Site moments in Bohr magnetons follow the coordinates.
Atoms (fractional coordinates):
O 0.9353 0.2597 0.6918  0.09
O 0.7403 0.0647 0.3082  0.09
O 0.2597 0.9353 0.6918  0.09
O 0.0647 0.7403 0.3082  0.09
O 0.2727 0.2727 0.4979  0.28
O 0.7273 0.7273 0.5021  0.28
Cs 0.2463 0.7537 0.0000  0.00
Cs 0.7537 0.2463 0.0000  0.00
Li 0.3418 0.6582 0.5000  0.00
Li 0.6582 0.3418 0.5000  0.00
Tc 0.0000 0.0000 0.5000  -0.11

20.
Computed, not measured: a geometry-optimized Li3CuF6 structure at the GGA-PBE level of DFT.

size of the total moment	0.20	μB/atom
electronic total energy	-43.0	eV for the cell shown

Lattice parameters (Å, degrees): 4.8846 4.8846 6.0103 112.09 112.09 94.27
Site moments in Bohr magnetons follow the coordinates.
Atoms (fractional coordinates):
Li 0.2500 0.7500 0.5000  0.00
Li 0.7500 0.2500 0.5000  0.00
Li 0.5000 0.5000 0.0000  0.02
F 0.2580 0.7420 0.0000  0.12
F 0.3450 0.3450 0.2697  0.15
F 0.9247 0.9247 0.2697  0.15
F 0.6550 0.6550 0.7303  0.15
F 0.0753 0.0753 0.7303  0.15
F 0.7420 0.2580 0.0000  0.12
Cu 0.0000 0.0000 0.0000  1.09

21.
Computed, not measured: a geometry-optimized TcSbP2 structure at the GGA-PBE level of DFT.

size of the total moment	0.00	μB/atom
electronic total energy	-22.7	eV for the cell shown

Lattice parameters (Å, degrees): 3.2999 4.9025 4.1706 90.00 90.00 90.00
Atoms (fractional coordinates):
Tc 0.0000 0.5000 0.5000
P 0.5000 0.5000 0.0000
P 0.0000 0.0000 0.0000
Sb 0.5000 0.0000 0.5000